# 1
Entry from Alexandria: crystalline Sc4SnAuN at its relaxed geometry (GGA-PBE).

Geometry as CIF:
```
data_Sc4SnAuN
_cell_length_a 6.227
_cell_length_b 14.351
_cell_length_c 6.207
_cell_angle_alpha 90.00
_cell_angle_beta 90.00
_cell_angle_gamma 90.00
_symmetry_space_group_name_H-M 'C m c m'
_symmetry_Int_Tables_number 63
_symmetry_space_group_name_Hall '-C 2c 2'
loop_
_atom_site_label
_atom_site_type_symbol
_atom_site_fract_x
_atom_site_fract_y
_atom_site_fract_z
_atom_site_occupancy
Sc1 Sc 0.000 0.079 0.250 1
Sc2 Sc 0.000 0.406 0.250 1
Sc3 Sc 0.250 0.250 0.000 1
Sn1 Sn 0.000 0.392 0.750 1
Au1 Au 0.000 0.115 0.750 1
N1 N 0.000 0.250 0.250 1
```

Computed properties:
Calculated density: 6.10 g cm⁻³
Energy relative to the elements, uncorrected: -0.984 eV/atom
Total magnetic moment: 0.00 μB per cell
DFT total energy: -6.832 eV/atom
V: 19.811 A^3/atom

***

# 2
Entry from Alexandria: crystalline Sc2TaAuN at its relaxed geometry (GGA-PBE).

Geometry as CIF:
```
data_Sc2TaAuN
_cell_length_a 4.388
_cell_length_b 4.388
_cell_length_c 4.242
_cell_angle_alpha 90.00
_cell_angle_beta 90.00
_cell_angle_gamma 90.00
_symmetry_space_group_name_H-M 'P 4/m m m'
_symmetry_Int_Tables_number 123
_symmetry_space_group_name_Hall '-P 4 2'
loop_
_atom_site_label
_atom_site_type_symbol
_atom_site_fract_x
_atom_site_fract_y
_atom_site_fract_z
_atom_site_occupancy
Sc1 Sc 0.000 0.500 0.000 1
Ta1 Ta 0.000 0.000 0.500 1
Au1 Au 0.500 0.500 0.500 1
N1 N 0.000 0.000 0.000 1
```

Computed properties:
Calculated density: 9.80 g cm⁻³
Energy relative to the elements, uncorrected: -0.926 eV/atom
Total magnetic moment: 0.00 μB per cell
DFT total energy: -8.149 eV/atom
V: 16.335 A^3/atom